MoAs: relaxed, GGA-PBEsol.

Output
**D(E_F)**: 0.737 states/eV/atom
**Total energy**: -16.8 eV per formula unit

Cell lengths 3.0648, 4.1979, 9.6780 Å; angles 90.00, 90.00, 90.00 degrees
With the nearest neighbours (Å) after each atom.
Space group Imma (No. 74)
One atom of each set of equivalent atoms:
Mo: 0.0000 0.2500 0.1147 (multiplicity 4)  6 As 2.60-2.64
As: 0.0000 0.2500 0.6076 (multiplicity 4)  6 Mo 2.60-2.64


DyAsPt: relaxed, GGA-PBEsol.

Output
**D(E_F)**: 0.256 states/eV/atom
**Total energy**: -20.7 eV per formula unit

Cell lengths 4.2440, 4.2440, 7.5660 Å; angles 90.00, 90.00, 120.00 degrees
With the nearest neighbours (Å) after each atom.
Space group P6_3/mmc (No. 194)
One atom of each set of equivalent atoms:
Dy: 0.0000 0.0000 0.0000 (multiplicity 2)  6 Pt 3.10, 6 As 3.10
As: 0.3333 0.6667 0.2500 (multiplicity 2)  3 Pt 2.45
Pt: 0.3333 0.6667 0.7500 (multiplicity 2)  3 As 2.45


Mn3Hg2: relaxed, GGA-PBEsol.

Output
**D(E_F)**: 1.088 states/eV/atom
**Total energy**: -26.8 eV per formula unit

Cell lengths 4.4493, 4.4493, 5.5378 Å; angles 90.00, 90.00, 120.00 degrees
With the nearest neighbours (Å) after each atom.
Space group P-3m1 (No. 164)
One atom of each set of equivalent atoms:
Mn: 0.0000 0.0000 0.0000 (multiplicity 1)  6 Hg 2.76
Mn: 0.3333 0.6667 0.3411 (multiplicity 2)  5 Hg 2.65-2.89
Hg: 0.3333 0.6667 0.8200 (multiplicity 2)  8 Mn 2.65-2.89


CaWBr2: relaxed, GGA-PBEsol.

Output
**D(E_F)**: 0.876 states/eV/atom
**Total energy**: -19.2 eV per formula unit
**Uncorrected formation energy**: 0.5 eV per formula unit

Cell lengths 3.2660, 3.2660, 27.6400 Å; angles 90.00, 90.00, 120.00 degrees
With the nearest neighbours (Å) after each atom.
Space group R-3m (No. 166, hexagonal axes)
One atom of each set of equivalent atoms:
Ca: 0.0000 0.0000 0.0000 (multiplicity 3)  6 Br 2.84
W: 0.0000 0.0000 0.5000 (multiplicity 3)  2 Br 2.49
Br: 0.0000 0.0000 0.4100 (multiplicity 6)  1 W 2.49


Which value of total energy does entry 4 give?
-19.2 eV per formula unit